An optimized crystal structure of Ca2MnCrO4. Source: the Alexandria database, functional PBE with a Hubbard U.

Calculated values
Crystal system: monoclinic
Spin magnetization, μB per formula unit: 7.000
Energy, eV/cell: -55.596
V, Å³ per cell: 98.52

a = 5.619 Å, b = 3.260 Å, c = 5.773 Å
α = 90.00°, β = 111.27°, γ = 90.00°
Positions (direct):
Ca  0.000  0.000  0.000
Ca  0.000  0.500  0.500
Mn  0.500  0.000  0.500
Cr  0.500  0.500  0.000
O  0.263  0.500  0.260
O  0.274  0.000  0.766
O  0.726  0.000  0.234
O  0.737  0.500  0.740